1:
Crystalline Nd2YEr at its relaxed geometry. Source: Alexandria, functional PBE.

## Properties
N(E_F) = 1.139 states/eV per atom
Magnetic moment = 0.0 Bohr magnetons per cell

Lattice parameters (Å, degrees): 3.6178 6.1981 6.2634 70.43 89.99 89.87
With the nearest neighbours (Å) after each atom.
Space group P-1 (No. 2)
Asymmetric unit:
Nd: 0.0000 0.0000 0.0000 (multiplicity 1)  4 Er 3.58-3.59, 2 Y 3.59, 6 Nd 3.62
Nd: 0.5000 0.0000 0.5000 (multiplicity 1)  4 Y 3.58-3.59, 2 Er 3.59, 6 Nd 3.62
Y: 0.0000 0.5000 0.5000 (multiplicity 1)  6 Nd 3.58-3.59, 4 Er 3.62, 2 Y 3.62
Er: 0.5000 0.5000 0.0000 (multiplicity 1)  6 Nd 3.58-3.59, 4 Y 3.62, 2 Er 3.62

2:
Crystalline Nd2YEr at its relaxed geometry. Source: Alexandria, functional PBE.

## Properties
N(E_F) = 1.461 states/eV per atom
Magnetic moment = 0.0 Bohr magnetons per cell

Lattice parameters (Å, degrees): 3.6280 3.6280 35.0803 90.00 90.00 120.00
With the nearest neighbours (Å) after each atom.
Space group R3m (No. 160, hexagonal axes)
Asymmetric unit:
Nd: 0.0000 0.0000 0.0000 (multiplicity 3)  3 Er 3.57, 3 Y 3.60, 6 Nd 3.63
Nd: 0.0000 0.0000 0.1675 (multiplicity 3)  3 Er 3.60, 3 Y 3.61, 6 Nd 3.63
Y: 0.0000 0.0000 0.4170 (multiplicity 3)  6 Nd 3.60-3.61, 6 Y 3.63
Er: 0.0000 0.0000 0.5843 (multiplicity 3)  6 Nd 3.57-3.60, 6 Er 3.63

Most stable to least stable, the ends of the list are 1 and 2.

1:
Crystalline Nd2YEr at its relaxed geometry. Source: Alexandria, functional PBE.

## Properties
N(E_F) = 1.855 states/eV per atom
Magnetic moment = 0.0 Bohr magnetons per cell

Lattice parameters (Å, degrees): 8.1294 8.1294 8.1294 90.00 90.00 90.00
With the nearest neighbours (Å) after each atom.
Space group Fm-3m (No. 225)
Asymmetric unit:
Nd: 0.2500 0.2500 0.2500 (multiplicity 8)  4 Er 3.52, 4 Y 3.52
Y: 0.0000 0.0000 0.0000 (multiplicity 4)  8 Nd 3.52
Er: 0.0000 0.0000 0.5000 (multiplicity 4)  8 Nd 3.52

2:
Crystalline Nd2YEr at its relaxed geometry. Source: Alexandria, functional PBE.

## Properties
N(E_F) = 1.511 states/eV per atom
Magnetic moment = 0.0 Bohr magnetons per cell

Lattice parameters (Å, degrees): 3.6231 3.6231 10.1441 90.00 90.00 90.00
With the nearest neighbours (Å) after each atom.
Space group P4/mmm (No. 123)
Asymmetric unit:
Nd: 0.0000 0.0000 0.2476 (multiplicity 2)  4 Er 3.59, 4 Y 3.62, 4 Nd 3.62
Y: 0.5000 0.5000 0.5000 (multiplicity 1)  8 Nd 3.62, 4 Y 3.62
Er: 0.5000 0.5000 0.0000 (multiplicity 1)  8 Nd 3.59, 4 Er 3.62

3:
Crystalline Nd2YEr at its relaxed geometry. Source: Alexandria, functional PBE.

## Properties
N(E_F) = 1.880 states/eV per atom
Magnetic moment = 1.4 Bohr magnetons per cell

Lattice parameters (Å, degrees): 3.5275 3.5275 37.6927 90.00 90.00 120.00
With the nearest neighbours (Å) after each atom.
Space group R-3m (No. 166, hexagonal axes)
Asymmetric unit:
Nd: 0.0000 0.0000 0.0895 (multiplicity 6)  1 Y 3.37, 6 Nd 3.53, 3 Er 3.55
Y: 0.0000 0.0000 0.0000 (multiplicity 3)  2 Nd 3.37, 6 Y 3.53
Er: 0.0000 0.0000 0.5000 (multiplicity 3)  6 Er 3.53, 6 Nd 3.55

Most stable to least stable, the ends of the list are 2 and 3.

1:
Crystalline Nd2Y12Er5 at its relaxed geometry. Source: Alexandria, functional PBE.

## Properties
N(E_F) = 1.533 states/eV per atom
Magnetic moment = 0.0 Bohr magnetons per cell

Lattice parameters (Å, degrees): 15.7050 9.3079 8.5603 90.00 91.10 90.00
With the nearest neighbours (Å) after each atom.
Space group C2/m (No. 12)
Asymmetric unit:
Nd: 0.0000 0.1816 0.0000 (multiplicity 4)  1 Nd 3.38, 8 Y 3.39-3.61, 2 Er 3.53
Y: 0.0577 0.0000 0.3282 (multiplicity 4)  2 Nd 3.39, 2 Er 3.39-3.53, 7 Y 3.42-3.48
Y: 0.0910 0.5000 0.8799 (multiplicity 4)  3 Er 3.43-3.53, 2 Nd 3.46, 5 Y 3.51-3.65
Y: 0.1270 0.1921 0.6530 (multiplicity 8)  4 Er 3.38-3.72, 6 Y 3.42-3.75, 1 Nd 3.61
Y: 0.1557 0.3198 0.2417 (multiplicity 8)  5 Y 3.36-3.75, 1 Nd 3.42, 4 Er 3.51-3.73
Er: 0.0000 0.5000 0.5000 (multiplicity 2)  10 Y 3.53-3.73, 2 Er 3.69
Er: 0.1976 0.0000 0.0107 (multiplicity 4)  8 Y 3.43-3.70, 2 Nd 3.53, 1 Er 3.69
Er: 0.2318 0.5000 0.5761 (multiplicity 4)  8 Y 3.38-3.51, 2 Er 3.69

2:
Crystalline Nd2Y12Er5 at its relaxed geometry. Source: Alexandria, functional PBE.

## Properties
N(E_F) = 1.764 states/eV per atom
Magnetic moment = 0.0 Bohr magnetons per cell

Lattice parameters (Å, degrees): 6.5451 8.6758 11.7760 88.88 87.44 67.85
With the nearest neighbours (Å) after each atom.
Space group P1 (No. 1)
Asymmetric unit:
Nd: 0.0000 0.0000 0.0000 (multiplicity 1)  2 Nd 3.39-3.40, 2 Er 3.39-3.59, 4 Y 3.42-3.60
Nd: 0.4421 0.1145 0.9992 (multiplicity 1)  2 Nd 3.39-3.40, 8 Y 3.44-3.74, 2 Er 3.47-3.72
Y: 0.0631 0.3045 0.2279 (multiplicity 1)  3 Er 3.32-3.60, 4 Y 3.53-3.70, 1 Nd 3.55
Y: 0.0721 0.4928 0.8828 (multiplicity 1)  2 Er 3.40-3.61, 6 Y 3.43-3.75, 1 Nd 3.56
Y: 0.2852 0.6783 0.6228 (multiplicity 1)  5 Y 3.32-3.63, 4 Er 3.44-3.49
Y: 0.3466 0.3020 0.4993 (multiplicity 1)  3 Y 3.18-3.50, 4 Er 3.33-3.50
Y: 0.4144 0.5007 0.1182 (multiplicity 1)  3 Er 3.39-3.77, 6 Y 3.40-3.73, 1 Nd 3.60
Y: 0.4708 0.7107 0.8792 (multiplicity 1)  7 Y 3.36-3.75, 2 Nd 3.43-3.74, 1 Er 3.56
Y: 0.5472 0.9063 0.4987 (multiplicity 1)  3 Y 3.18-3.46, 4 Er 3.35-3.50
Y: 0.6243 0.3040 0.7702 (multiplicity 1)  3 Er 3.34-3.70, 4 Y 3.34-3.63, 1 Nd 3.52
Y: 0.6662 0.1014 0.2600 (multiplicity 1)  7 Y 3.43-3.70, 2 Nd 3.44-3.60, 3 Er 3.60-3.83
Y: 0.8018 0.7139 0.1194 (multiplicity 1)  2 Er 3.37-3.39, 6 Y 3.43-3.73, 2 Nd 3.46-3.68
Y: 0.8102 0.8895 0.7609 (multiplicity 1)  5 Y 3.32-3.58, 2 Nd 3.42-3.68, 2 Er 3.46-3.59
Y: 0.9459 0.1050 0.4991 (multiplicity 1)  3 Er 3.41-3.80, 8 Y 3.43-3.82
Er: 0.0336 0.6738 0.3736 (multiplicity 1)  4 Er 3.29-3.47, 5 Y 3.35-3.60
Er: 0.2243 0.1004 0.7383 (multiplicity 1)  10 Y 3.41-3.80, 2 Nd 3.47-3.59
Er: 0.2876 0.8924 0.2411 (multiplicity 1)  2 Er 3.29-3.44, 5 Y 3.32-3.60, 1 Nd 3.39
Er: 0.6053 0.5318 0.3762 (multiplicity 1)  5 Y 3.34-3.47, 4 Er 3.39-3.47
Er: 0.8593 0.5287 0.6213 (multiplicity 1)  7 Y 3.33-3.49, 2 Er 3.39-3.47

Most stable to least stable, the ends of the list are 2 and 1.

1:
Crystalline Nd5Y2Er12 at its relaxed geometry. Source: Alexandria, functional PBE.

## Properties
N(E_F) = 1.381 states/eV per atom
Magnetic moment = 0.0 Bohr magnetons per cell

Lattice parameters (Å, degrees): 18.2785 7.0197 10.3952 90.00 111.01 90.00
With the nearest neighbours (Å) after each atom.
Space group C2/m (No. 12)
Asymmetric unit:
Nd: 0.0000 0.0000 0.0000 (multiplicity 2)  2 Er 2.82
Nd: 0.1822 0.5000 0.7108 (multiplicity 4)  2 Nd 3.53, 8 Er 3.64-3.85, 2 Y 3.64
Nd: 0.1881 0.0000 0.6824 (multiplicity 4)  5 Er 3.28-3.56, 2 Nd 3.53
Y: 0.0000 0.2702 0.5000 (multiplicity 4)  2 Er 3.10, 1 Y 3.23
Er: 0.0028 0.5000 0.1739 (multiplicity 4)  7 Er 3.35-3.68
Er: 0.0254 0.0000 0.7484 (multiplicity 4)  1 Nd 2.82, 2 Y 3.10
Er: 0.1581 0.2470 0.3689 (multiplicity 8)  6 Er 3.35-3.64, 3 Nd 3.52-3.74, 1 Y 3.61
Er: 0.1628 0.2529 0.0216 (multiplicity 8)  6 Er 3.37-3.64, 3 Nd 3.40-3.73

2:
Crystalline Nd5Y2Er12 at its relaxed geometry. Source: Alexandria, functional PBE.

## Properties
N(E_F) = 1.551 states/eV per atom
Magnetic moment = 0.0 Bohr magnetons per cell

Lattice parameters (Å, degrees): 6.2761 9.0323 10.9321 87.25 82.22 87.86
With the nearest neighbours (Å) after each atom.
Space group P-1 (No. 2)
Asymmetric unit:
Nd: 0.0000 0.0000 0.0000 (multiplicity 1)  10 Er 3.55-3.90, 2 Nd 3.94
Nd: 0.1227 0.9870 0.3447 (multiplicity 2)  10 Er 3.35-3.64, 1 Nd 3.55
Nd: 0.2709 0.5521 0.9444 (multiplicity 2)  6 Er 3.25-3.59, 2 Nd 3.36-3.60, 1 Y 3.42
Y: 0.4563 0.4959 0.3446 (multiplicity 2)  10 Er 3.42-3.80, 1 Nd 3.42, 1 Y 3.52
Er: 0.0161 0.3421 0.7676 (multiplicity 2)  3 Nd 3.36-3.56, 6 Er 3.47-3.72, 2 Y 3.59-3.70
Er: 0.0724 0.6643 0.5486 (multiplicity 2)  7 Er 3.39-3.69, 3 Y 3.42-3.69, 2 Nd 3.53-3.58
Er: 0.1810 0.2942 0.1607 (multiplicity 2)  4 Nd 3.25-3.56, 4 Er 3.39-3.56, 1 Y 3.45
Er: 0.3545 0.8572 0.7494 (multiplicity 2)  4 Nd 3.41-3.62, 6 Er 3.42-3.67, 1 Y 3.51
Er: 0.3992 0.1737 0.5550 (multiplicity 2)  2 Y 3.42-3.62, 7 Er 3.47-3.77, 3 Nd 3.57-3.64
Er: 0.4974 0.8242 0.1131 (multiplicity 2)  6 Er 3.52-3.93, 5 Nd 3.55-3.78, 1 Y 3.80

Most stable to least stable, the ends of the list are 2 and 1.

1:
Crystalline NdY6Er3 at its relaxed geometry. Source: Alexandria, functional PBE.

## Properties
N(E_F) = 1.475 states/eV per atom
Magnetic moment = 0.0 Bohr magnetons per cell

Lattice parameters (Å, degrees): 9.6644 20.9343 6.4023 90.00 90.00 90.00
With the nearest neighbours (Å) after each atom.
Space group Cmc2_1 (No. 36)
Asymmetric unit:
Nd: 0.0000 0.1622 0.0000 (multiplicity 4)  4 Y 3.25-3.54, 2 Er 3.53
Y: 0.0000 0.0153 0.1981 (multiplicity 4)  4 Y 3.26-3.62, 1 Nd 3.33, 4 Er 3.53-3.56
Y: 0.0000 0.3013 0.2239 (multiplicity 4)  1 Er 3.14, 1 Nd 3.25, 2 Y 3.42
Y: 0.1763 0.2816 0.6822 (multiplicity 8)  3 Er 3.28-3.64, 3 Y 3.41-3.59, 2 Nd 3.54-3.65
Y: 0.1798 0.4415 0.4393 (multiplicity 8)  3 Er 3.34-3.53, 4 Y 3.48-3.69
Er: 0.0000 0.4177 0.9138 (multiplicity 4)  3 Y 3.14-3.43, 2 Er 3.40
Er: 0.1695 0.1263 0.5254 (multiplicity 8)  2 Er 3.28-3.40, 5 Y 3.28-3.56, 1 Nd 3.53

2:
Crystalline NdY6Er3 at its relaxed geometry. Source: Alexandria, functional PBE.

## Properties
N(E_F) = 1.426 states/eV per atom
Magnetic moment = 0.0 Bohr magnetons per cell

Lattice parameters (Å, degrees): 10.9803 18.9508 6.2549 90.00 90.00 90.00
With the nearest neighbours (Å) after each atom.
Space group Cmc2_1 (No. 36)
Asymmetric unit:
Nd: 0.0000 0.2069 0.0000 (multiplicity 4)  3 Er 3.22-3.49, 7 Y 3.32-3.53
Y: 0.0000 0.0476 0.7430 (multiplicity 4)  1 Nd 3.42, 4 Er 3.55-3.61, 4 Y 3.61-3.77
Y: 0.0000 0.2853 0.4886 (multiplicity 4)  4 Y 3.30-3.37, 1 Er 3.32, 2 Nd 3.40-3.53
Y: 0.1648 0.4551 0.3711 (multiplicity 8)  4 Er 3.39-3.60, 6 Y 3.42-3.77
Y: 0.2491 0.2086 0.6994 (multiplicity 8)  2 Er 3.28-3.60, 5 Y 3.30-3.50, 2 Nd 3.32-3.42
Er: 0.0000 0.3892 0.9158 (multiplicity 4)  5 Y 3.32-3.60, 1 Nd 3.49, 2 Er 3.66
Er: 0.1745 0.1092 0.2899 (multiplicity 8)  1 Nd 3.22, 5 Y 3.28-3.60

Most stable to least stable, the ends of the list are 1 and 2.

1:
Crystalline Nd5Y4Er at its relaxed geometry. Source: Alexandria, functional PBE.

## Properties
N(E_F) = 1.477 states/eV per atom
Magnetic moment = 0.0 Bohr magnetons per cell

Lattice parameters (Å, degrees): 10.6155 10.6155 6.1048 90.00 90.00 90.00
With the nearest neighbours (Å) after each atom.
Space group I4mm (No. 107)
Asymmetric unit:
Nd: 0.0000 0.0000 0.0000 (multiplicity 2)  1 Er 2.84
Nd: 0.1882 0.1882 0.2699 (multiplicity 8)  1 Er 3.25, 3 Nd 3.27-3.57, 2 Y 3.31
Y: 0.0000 0.3239 0.7560 (multiplicity 8)  2 Nd 3.31, 1 Er 3.69
Er: 0.0000 0.0000 0.5345 (multiplicity 2)  1 Nd 2.84

2:
Crystalline Nd5Y4Er at its relaxed geometry. Source: Alexandria, functional PBE.

## Properties
N(E_F) = 1.699 states/eV per atom
Magnetic moment = 0.0 Bohr magnetons per cell

Lattice parameters (Å, degrees): 3.5805 9.3213 11.0558 103.41 90.01 100.99
With the nearest neighbours (Å) after each atom.
Space group P-1 (No. 2)
Asymmetric unit:
Nd: 0.0000 0.0000 0.0000 (multiplicity 1)  4 Y 3.34-3.35, 6 Nd 3.53-3.58
Nd: 0.3326 0.6619 0.9742 (multiplicity 2)  4 Y 3.48-3.86, 6 Nd 3.53-3.63
Nd: 0.3391 0.6765 0.5858 (multiplicity 2)  4 Y 3.48-3.77, 4 Nd 3.58-3.79, 2 Er 3.77
Y: 0.1755 0.3543 0.7196 (multiplicity 2)  4 Y 3.43-3.58, 4 Nd 3.48-3.77, 1 Er 3.56
Y: 0.4760 0.9520 0.2432 (multiplicity 2)  2 Er 3.30, 4 Nd 3.34-3.49, 4 Y 3.43-3.58
Er: 0.0000 0.0000 0.5000 (multiplicity 1)  6 Y 3.30-3.56, 2 Er 3.58

Most stable to least stable, the ends of the list are 2 and 1.